Entry 1:
The following is a GGA-PBE calculation of InCo2Re after structural relaxation, from Alexandria via LeMat-Bulk.

Output
E_tot ... -56.3 eV for the cell shown
ΔE_f ... 0.3062 eV per atom
ρ ... 12604 kg/m³

a b c (Å): 5.760 6.921 2.768
angles (deg): 90.00 90.00 90.00
Space group Cmmm (No. 65)
Symmetry-distinct sites (fractional):
In  0.000  0.000  0.000 [2 per cell]
Co  0.250  0.250  0.500 [4 per cell]
Re  0.000  0.500  0.000 [2 per cell]



Entry 2:
The following is a GGA-PBE calculation of InCo2Re after structural relaxation, from Alexandria via LeMat-Bulk.

Output
E_tot ... -28.3 eV for the cell shown
ΔE_f ... 0.2731 eV per atom
ρ ... 12608 kg/m³

a b c (Å): 2.750 4.145 5.029
angles (deg): 90.00 105.77 90.00
Space group Pm (No. 6)
Symmetry-distinct sites (fractional):
In  0.000  0.000  0.000 [1 per cell]
Co  0.263  0.000  0.525 [1 per cell]
Co  0.406  0.500  0.812 [1 per cell]
Re  0.678  0.500  0.355 [1 per cell]



- What is the E_tot in the first record?
  -56.3 eV for the cell shown